! OsBr4 (GGA-PBE, relaxed); values from VASP
&SYSTEM
  ibrav = 0, nat = 40, ntyp = 2
/
ATOMIC_SPECIES
Br 79.90 Br.upf
Os 190.23 Os.upf
ATOMIC_POSITIONS crystal
Br 0.755 0.488 0.922
Br 0.572 0.269 0.805
Br 0.245 0.512 0.078
Br 0.773 0.976 0.694
Br 0.042 0.242 0.422
Br 0.273 0.976 0.806
Br 0.245 0.988 0.578
Br 0.227 0.476 0.806
Br 0.072 0.231 0.195
Br 0.745 0.988 0.922
Br 0.072 0.269 0.695
Br 0.428 0.769 0.695
Br 0.542 0.242 0.078
Br 0.458 0.758 0.922
Br 0.928 0.731 0.305
Br 0.542 0.258 0.578
Br 0.727 0.024 0.194
Br 0.958 0.758 0.578
Br 0.428 0.731 0.195
Br 0.458 0.742 0.422
Br 0.255 0.012 0.078
Br 0.572 0.231 0.305
Br 0.727 0.476 0.694
Br 0.755 0.012 0.422
Br 0.928 0.769 0.805
Br 0.042 0.258 0.922
Br 0.958 0.742 0.078
Br 0.773 0.524 0.194
Br 0.227 0.024 0.306
Br 0.745 0.512 0.422
Br 0.273 0.524 0.306
Br 0.255 0.488 0.578
Os 0.399 0.127 0.184
Os 0.899 0.373 0.816
Os 0.899 0.127 0.316
Os 0.101 0.627 0.184
Os 0.601 0.873 0.816
Os 0.601 0.627 0.316
Os 0.101 0.873 0.684
Os 0.399 0.373 0.684
CELL_PARAMETERS angstrom
6.447 0.000 0.000
0.000 13.190 0.000
0.000 0.000 15.482
! Symmetry: Pbca (61)
! Excess energy over the best structure of this formula in the dataset: 0.00 kJ per mole of atoms
! Magnetization: 0.404 μB per atom

***

! Pr4Cd5Ru2 (GGA-PBE, relaxed); values from VASP
&SYSTEM
  ibrav = 0, nat = 11, ntyp = 3
/
ATOMIC_SPECIES
Pr 140.91 Pr.upf
Cd 112.41 Cd.upf
Ru 101.07 Ru.upf
ATOMIC_POSITIONS crystal
Pr 0.500 0.170 0.847
Pr 0.500 0.782 0.553
Pr 0.500 0.218 0.447
Pr 0.500 0.830 0.153
Cd 0.000 0.449 0.679
Cd 0.000 0.500 0.000
Cd 0.000 0.188 0.155
Cd 0.000 0.551 0.321
Cd 0.000 0.812 0.845
Ru 0.000 0.071 0.644
Ru 0.000 0.929 0.356
CELL_PARAMETERS angstrom
-0.979 3.665 0.711
-4.699 -0.055 -6.186
-6.847 -3.044 6.263
! Symmetry: P2/m (10)
! ΔE_f: -0.24 eV per atom
! Magnetization: 0.000 μB per atom

***

! Ce6Ir2Au (GGA-PBE, relaxed); values from VASP
&SYSTEM
  ibrav = 0, nat = 9, ntyp = 3
/
ATOMIC_SPECIES
Ce 140.12 Ce.upf
Ir 192.22 Ir.upf
Au 196.97 Au.upf
ATOMIC_POSITIONS crystal
Ce 0.941 0.881 0.149
Ce 0.305 0.610 0.420
Ce 0.394 0.788 0.828
Ce 0.606 0.212 0.172
Ce 0.695 0.390 0.580
Ce 0.059 0.119 0.851
Ir 0.268 0.536 0.119
Ir 0.732 0.464 0.881
Au 0.000 0.000 0.500
CELL_PARAMETERS angstrom
4.773 0.000 0.000
-2.387 5.120 -0.406
0.000 -0.508 8.873
! Symmetry: C2/m (12)
! ΔE_f: -0.53 eV per atom
! Excess energy over the best structure of this formula in the dataset: 0.00 kJ per mole of atoms
! Magnetization: 0.153 μB per atom

***

! MgBe2W (GGA-PBE, relaxed); values from VASP
&SYSTEM
  ibrav = 0, nat = 4, ntyp = 3
/
ATOMIC_SPECIES
Be 9.01 Be.upf
W 183.84 W.upf
Mg 24.30 Mg.upf
ATOMIC_POSITIONS crystal
Be 0.998 0.998 0.079
Be 0.502 0.502 0.421
W 0.250 0.250 0.250
Mg 0.750 0.750 0.750
CELL_PARAMETERS angstrom
-0.601 3.202 3.008
-2.982 2.071 2.545
0.532 -2.866 4.262
! Symmetry: C2/m (12)
! ΔE_f: 0.42 eV per atom
! Magnetization: 0.000 μB per atom